Computed, not measured: an optimized crystal structure of NiPtPbO6 at the PBE with a Hubbard U level of DFT.

a b c (Å): 4.765 4.765 9.753
angles (deg): 90.00 90.00 90.00
Space group P4_2nm (No. 102)
Symmetry-distinct sites (fractional):
Ni  0.000  0.000  0.000 x2
Pt  0.000  0.000  0.335 x2
Pb  0.000  0.000  0.668 x2
O  0.178  0.178  0.172 x4
O  0.196  0.196  0.487 x4
O  0.209  0.209  0.843 x4

Results
VASP energy in eV/atom: -5.26
Magnetization in μB/cell: 6.42
Fermi-level density of states in states/eV/atom: 0.62